(1)
{
  "formula": "CaLa2Nd6Sm3",
  "functional": "PBE",
  "state": "optimized geometry",
  "e_form_kcal_per_mol_atoms": 0.71,
  "magnetic_moment_mub_per_atom": 0.000,
  "sg": "No. 12",
  "lattice_angstrom": [[6.404, -0.003, 0.005], [-3.203, 5.545, 0.005], [-1.083, -1.875, 12.027]],
  "species": ["Nd", "Nd", "Nd", "Nd", "Nd", "Nd", "Ca", "Sm", "Sm", "Sm", "La", "La"],
  "frac_coords": [[0.577, 0.914, 0.745], [0.252, 0.252, 0.744], [0.914, 0.577, 0.745], [0.086, 0.423, 0.255], [0.423, 0.086, 0.255], [0.748, 0.748, 0.256], [0.000, 0.000, 0.000], [0.834, 0.166, 0.500], [0.166, 0.834, 0.500], [0.500, 0.500, 0.500], [0.667, 0.333, 0.000], [0.333, 0.667, 0.000]]
}

(2)
{
  "formula": "Sr2PrSb3Pt4",
  "functional": "PBE",
  "state": "optimized geometry",
  "formation_energy_uncorrected_ev_per_atom": -0.858,
  "magnetic_moment_mub_per_atom": 0.000,
  "sg": "No. 115",
  "lattice_angstrom": [[4.669, 0.000, 0.000], [0.000, 4.669, 0.000], [0.000, 0.000, 11.477]],
  "species": ["Sb", "Sb", "Sb", "Pr", "Sr", "Sr", "Pt", "Pt", "Pt", "Pt"],
  "frac_coords": [[0.000, 0.500, 0.121], [0.500, 0.000, 0.879], [0.000, 0.000, 0.500], [0.500, 0.500, 0.500], [0.000, 0.500, 0.779], [0.500, 0.000, 0.221], [0.500, 0.500, 0.000], [0.500, 0.000, 0.651], [0.000, 0.500, 0.349], [0.000, 0.000, 0.000]]
}

(3)
{
  "formula": "Ba6Sb2PbI3",
  "functional": "PBE",
  "state": "optimized geometry",
  "formation_energy_uncorrected_ev_per_atom": -1.235,
  "magnetic_moment_mub_per_atom": 0.051,
  "sg": "No. 12",
  "lattice_angstrom": [[4.999, 0.000, 0.000], [0.000, 10.459, 0.321], [-2.500, -3.069, 10.824]],
  "species": ["Ba", "Ba", "Ba", "Ba", "Ba", "Ba", "I", "I", "I", "Sb", "Sb", "Pb"],
  "frac_coords": [[0.325, 0.434, 0.649], [0.661, 0.105, 0.322], [0.339, 0.895, 0.678], [0.675, 0.566, 0.351], [0.992, 0.757, 0.984], [0.008, 0.243, 0.016], [0.168, 0.833, 0.336], [0.500, 0.500, 0.000], [0.832, 0.167, 0.664], [0.834, 0.665, 0.668], [0.166, 0.335, 0.332], [0.500, 0.000, 0.000]]
}

(4)
{
  "formula": "LaBiC3",
  "functional": "PBE",
  "state": "optimized geometry",
  "e_form_kcal_per_mol_atoms": 47.44,
  "de_polymorph_ev_per_fu": 0.00,
  "magnetic_moment_mub_per_atom": 0.000,
  "sg": "No. 221",
  "lattice_angstrom": [[4.459, 0.000, 0.000], [0.000, 4.459, 0.000], [0.000, 0.000, 4.459]],
  "species": ["C", "C", "C", "La", "Bi"],
  "frac_coords": [[0.000, 0.000, 0.500], [0.500, 0.000, 0.000], [0.000, 0.500, 0.000], [0.500, 0.500, 0.500], [0.000, 0.000, 0.000]]
}

(5)
{
  "formula": "Sm8PIr3Cl4",
  "functional": "PBE",
  "state": "optimized geometry",
  "formation_energy_uncorrected_ev_per_atom": -1.254,
  "magnetic_moment_mub_per_atom": 0.000,
  "sg": "No. 166",
  "lattice_angstrom": [[8.254, 0.000, 0.000], [0.000, 8.726, 0.328], [-4.127, -4.125, 5.837]],
  "species": ["Cl", "Cl", "Cl", "Cl", "Ir", "Ir", "Ir", "Sm", "Sm", "Sm", "Sm", "Sm", "Sm", "Sm", "Sm", "P"],
  "frac_coords": [[0.000, 0.000, 0.000], [0.000, 0.000, 0.500], [0.500, 0.000, 0.000], [0.500, 0.000, 0.500], [0.000, 0.500, 0.500], [0.500, 0.500, 0.500], [0.500, 0.500, 0.000], [0.240, 0.705, 0.480], [0.735, 0.705, 0.470], [0.265, 0.295, 0.530], [0.725, 0.705, 0.965], [0.240, 0.705, 0.965], [0.275, 0.295, 0.035], [0.760, 0.295, 0.035], [0.760, 0.295, 0.520], [0.000, 0.500, 0.000]]
}

(6)
{
  "formula": "LiAc5In3",
  "functional": "PBE",
  "state": "optimized geometry",
  "e_form_kcal_per_mol_atoms": -5.80,
  "magnetic_moment_mub_per_atom": 0.000,
  "sg": "No. 193",
  "lattice_angstrom": [[7.317, 0.000, 0.000], [0.000, 8.782, -5.070], [0.000, 0.000, 10.140]],
  "species": ["Ac", "Ac", "Ac", "Ac", "Ac", "Ac", "Ac", "Ac", "Ac", "Ac", "In", "In", "In", "In", "In", "In", "Li", "Li"],
  "frac_coords": [[0.500, 0.333, 0.667], [0.250, 0.697, 0.000], [0.500, 0.667, 0.333], [0.250, 0.303, 0.303], [0.750, 0.000, 0.303], [0.750, 0.697, 0.697], [0.000, 0.667, 0.333], [0.000, 0.333, 0.667], [0.750, 0.303, 0.000], [0.250, 0.000, 0.697], [0.750, 0.000, 0.644], [0.250, 0.000, 0.356], [0.750, 0.356, 0.356], [0.750, 0.644, 0.000], [0.250, 0.356, 0.000], [0.250, 0.644, 0.644], [0.000, 0.000, 0.000], [0.500, 0.000, 0.000]]
}

(7)
{
  "formula": "Er4TlPd15",
  "functional": "PBE",
  "state": "optimized geometry",
  "e_form_kcal_per_mol_atoms": -17.66,
  "magnetic_moment_mub_per_atom": 0.000,
  "sg": "No. 123",
  "lattice_angstrom": [[4.100, 0.000, 0.000], [0.000, 4.100, 0.000], [0.000, 0.000, 20.498]],
  "species": ["Pd", "Pd", "Pd", "Pd", "Pd", "Pd", "Pd", "Pd", "Pd", "Pd", "Pd", "Pd", "Pd", "Pd", "Pd", "Tl", "Er", "Er", "Er", "Er"],
  "frac_coords": [[0.500, 0.500, 0.800], [0.000, 0.500, 0.900], [0.000, 0.500, 0.100], [0.500, 0.500, 0.601], [0.500, 0.000, 0.500], [0.000, 0.500, 0.300], [0.500, 0.000, 0.300], [0.500, 0.000, 0.100], [0.500, 0.500, 0.399], [0.500, 0.500, 0.200], [0.500, 0.000, 0.700], [0.500, 0.500, 0.000], [0.000, 0.500, 0.700], [0.500, 0.000, 0.900], [0.000, 0.500, 0.500], [0.000, 0.000, 0.000], [0.000, 0.000, 0.400], [0.000, 0.000, 0.199], [0.000, 0.000, 0.600], [0.000, 0.000, 0.801]]
}

(8)
{
  "formula": "Ti2CrHPb",
  "functional": "PBE",
  "state": "optimized geometry",
  "e_tot_ev_per_atom": -6.5125,
  "magnetic_moment_mub_per_atom": 0.112,
  "sg": "No. 123",
  "lattice_angstrom": [[-3.435, 0.085, -2.514], [0.156, -4.240, -0.357], [-2.267, -0.343, 3.086]],
  "species": ["Ti", "Ti", "Cr", "H", "Pb"],
  "frac_coords": [[0.500, 0.000, 0.000], [0.000, 0.500, 0.000], [0.000, 0.000, 0.500], [0.000, 0.000, 0.000], [0.500, 0.500, 0.500]]
}

(9)
{
  "formula": "Mn2FeSi",
  "functional": "PBE",
  "state": "optimized geometry",
  "formation_energy_uncorrected_ev_per_atom": -0.273,
  "magnetic_moment_mub_per_atom": 0.502,
  "sg": "No. 47",
  "lattice_angstrom": [[2.838, 0.000, 0.000], [0.000, 3.923, 0.000], [0.000, 0.000, 3.973]],
  "species": ["Fe", "Si", "Mn", "Mn"],
  "frac_coords": [[0.000, 0.500, 0.500], [0.500, 0.000, 0.500], [0.000, 0.000, 0.000], [0.500, 0.500, 0.000]]
}

(10)
{
  "formula": "Lu2TlPd",
  "functional": "PBE",
  "state": "optimized geometry",
  "e_form_kcal_per_mol_atoms": -11.39,
  "magnetic_moment_mub_per_atom": 0.000,
  "sg": "No. 166",
  "lattice_angstrom": [[-0.942, -3.608, 0.402], [2.400, -2.398, 1.598], [-2.825, -0.298, 8.196]],
  "species": ["Lu", "Lu", "Tl", "Pd"],
  "frac_coords": [[0.263, 0.263, 0.210], [0.737, 0.737, 0.790], [0.500, 0.500, 0.500], [0.000, 0.000, 0.000]]
}

(11)
{
  "formula": "AcTb2NdDy",
  "functional": "PBE",
  "state": "optimized geometry",
  "e_form_kcal_per_mol_atoms": 8.78,
  "magnetic_moment_mub_per_atom": 0.000,
  "sg": "No. 63",
  "lattice_angstrom": [[-3.384, 4.884, 2.660], [-4.489, -0.559, -4.684], [-2.186, -5.478, 7.276]],
  "species": ["Tb", "Tb", "Tb", "Tb", "Dy", "Dy", "Ac", "Ac", "Nd", "Nd"],
  "frac_coords": [[0.000, 0.752, 0.000], [0.000, 0.248, 0.000], [0.500, 0.752, 0.000], [0.500, 0.248, 0.000], [0.250, 0.250, 0.501], [0.750, 0.750, 0.499], [0.250, 0.659, 0.318], [0.750, 0.341, 0.682], [0.250, 0.847, 0.695], [0.750, 0.153, 0.305]]
}

(12)
{
  "formula": "HfAl3C",
  "functional": "PBE",
  "state": "optimized geometry",
  "e_form_kcal_per_mol_atoms": 9.28,
  "de_polymorph_ev_per_fu": 0.00,
  "magnetic_moment_mub_per_atom": 0.000,
  "sg": "No. 221",
  "lattice_angstrom": [[4.222, 0.000, 0.000], [0.000, 4.222, 0.000], [0.000, 0.000, 4.222]],
  "species": ["Al", "Al", "Al", "C", "Hf"],
  "frac_coords": [[0.500, 0.000, 0.000], [0.000, 0.500, 0.000], [0.000, 0.000, 0.500], [0.000, 0.000, 0.000], [0.500, 0.500, 0.500]]
}

no.,DOS(E_F) (states/eV/atom)
1,1.456
2,0.630
3,0.583
4,0.909
5,0.572
6,1.119
7,0.779
8,0.872
9,0.820
10,0.830
11,1.730
12,1.092